# 1
First-principles (PBE) data for crystalline Tc8Hg at its relaxed geometry, as listed in the Alexandria database.

Unit cell a=6.225 b=6.225 c=6.225 alpha=95.78 beta=95.78 gamma=143.00
Positions (direct):
Tc: 0.344 0.000 0.344
Tc: 0.656 0.000 0.656
Tc: 0.000 0.656 0.656
Tc: 0.320 0.680 0.000
Tc: 0.680 0.680 0.360
Tc: 0.000 0.344 0.344
Tc: 0.320 0.320 0.640
Tc: 0.680 0.320 0.000
Hg: 0.000 0.000 0.000

Results
ΔH_f (0 K) ... 0.19 eV/atom
Crystal system ... tetragonal
M_tot ... 0.0 Bohr magnetons per cell
Mass density ... 11.9 g/cm³
Energy ... -81.49 eV for the cell shown

---

# 2
First-principles (PBE) data for crystalline Nb at its relaxed geometry, as listed in the Alexandria database.

Unit cell a=5.496 b=5.496 c=8.686 alpha=90.00 beta=90.00 gamma=120.00
Positions (direct):
Nb: 0.667 0.333 0.562
Nb: 0.333 0.667 0.062
Nb: 0.333 0.667 0.438
Nb: 0.667 0.333 0.938
Nb: 0.829 0.171 0.250
Nb: 0.829 0.658 0.250
Nb: 0.658 0.829 0.750
Nb: 0.171 0.829 0.750
Nb: 0.000 0.000 0.000
Nb: 0.342 0.171 0.250
Nb: 0.171 0.342 0.750
Nb: 0.000 0.000 0.500

Results
Energy above the lowest structure with this stoichiometry ... 134 meV/atom
ΔH_f (0 K) ... 0.13 eV/atom
Crystal system ... hexagonal
M_tot ... 0.0 Bohr magnetons per cell
Mass density ... 8.1 g/cm³
Energy ... -119.23 eV for the cell shown

---

# 3
First-principles (PBE) data for crystalline ReSe3 at its relaxed geometry, as listed in the Alexandria database.

Unit cell a=8.755 b=8.755 c=3.393 alpha=90.00 beta=90.00 gamma=123.14
Positions (direct):
Re: 0.442 0.558 0.750
Re: 0.558 0.442 0.250
Se: 0.941 0.059 0.250
Se: 0.059 0.941 0.750
Se: 0.874 0.593 0.250
Se: 0.126 0.407 0.750
Se: 0.407 0.126 0.250
Se: 0.593 0.874 0.750

Results
Energy above the lowest structure with this stoichiometry ... 325 meV/atom
Formation energy from raw total energies ... 29 kJ per mole of atoms
Crystal system ... orthorhombic
M_tot ... 0.0 Bohr magnetons per cell
Mass density ... 6.5 g/cm³
Energy ... -43.42 eV for the cell shown

---

# 4
First-principles (PBE) data for crystalline Mn4InCl8 at its relaxed geometry, as listed in the Alexandria database.

Unit cell a=7.372 b=7.372 c=8.813 alpha=90.00 beta=114.73 gamma=120.00
Site moments in Bohr magnetons follow the coordinates.
Positions (direct):
Mn: 0.000 0.000 0.000  4.22
Mn: 0.000 0.500 0.000  4.29
Mn: 0.500 0.500 0.000  4.29
Mn: 0.500 0.000 0.000  4.29
In: 0.000 0.500 0.500  0.02
Cl: 0.454 0.727 0.181  0.08
Cl: 0.546 0.273 0.819  0.08
Cl: 0.456 0.228 0.187  0.07
Cl: 0.041 0.270 0.813  0.07
Cl: 0.544 0.772 0.813  0.07
Cl: 0.041 0.772 0.813  0.07
Cl: 0.959 0.228 0.187  0.07
Cl: 0.959 0.730 0.187  0.07

Results
Formation energy from raw total energies ... -89 kJ per mole of atoms
Crystal system ... trigonal
M_tot ... 19.0 Bohr magnetons per cell
Mass density ... 2.8 g/cm³
Energy ... -66.18 eV for the cell shown

---

# 5
First-principles (PBE) data for crystalline Mg2SnGe at its relaxed geometry, as listed in the Alexandria database.

Unit cell a=7.984 b=7.984 c=6.382 alpha=51.27 beta=51.27 gamma=90.00
Positions (direct):
Mg: 0.586 0.125 0.250
Mg: 0.164 0.625 0.250
Mg: 0.375 0.414 0.750
Mg: 0.875 0.836 0.750
Ge: 0.500 0.500 0.000
Ge: 0.250 0.750 0.500
Sn: 0.000 0.000 0.000
Sn: 0.750 0.250 0.500

Results
ΔH_f (0 K) ... 0.09 eV/atom
Crystal system ... tetragonal
M_tot ... 0.0 Bohr magnetons per cell
Mass density ... 4.2 g/cm³
Energy ... -22.87 eV for the cell shown

---

# 6
First-principles (PBE) data for crystalline TaCo3Br at its relaxed geometry, as listed in the Alexandria database.

Unit cell a=4.618 b=4.618 c=4.618 alpha=90.00 beta=90.00 gamma=90.00
Site moments in Bohr magnetons follow the coordinates.
Positions (direct):
Co: 0.000 0.500 0.000  0.93
Co: 0.000 0.000 0.500  1.00
Co: 0.500 0.000 0.000  0.63
Br: 0.500 0.500 0.500  0.13
Ta: 0.000 0.000 0.000  -0.27

Results
Energy above the lowest structure with this stoichiometry ... 252 meV/atom
Formation energy from raw total energies ... 147 kJ per mole of atoms
Crystal system ... cubic
M_tot ... 2.4 Bohr magnetons per cell
Mass density ... 7.4 g/cm³
Energy ... -27.23 eV for the cell shown

---

# 7
First-principles (PBE) data for crystalline CoGeMoAu2 at its relaxed geometry, as listed in the Alexandria database.

Unit cell a=4.798 b=4.798 c=4.395 alpha=90.00 beta=90.00 gamma=90.00
Site moments in Bohr magnetons follow the coordinates.
Positions (direct):
Co: 0.000 0.000 0.500  1.27
Mo: 0.500 0.500 0.500  3.22
Au: 0.000 0.500 0.000  0.03
Au: 0.500 0.000 0.000  0.03
Ge: 0.000 0.000 0.000  -0.04

Results
ΔH_f (0 K) ... 1.08 eV/atom
Crystal system ... tetragonal
M_tot ... 5.1 Bohr magnetons per cell
Mass density ... 10.2 g/cm³
Energy ... -23.71 eV for the cell shown

---

# 8
First-principles (PBE) data for crystalline NdNiAs at its relaxed geometry, as listed in the Alexandria database.

Unit cell a=4.130 b=4.130 c=16.170 alpha=90.00 beta=90.00 gamma=120.00
Positions (direct):
Ni: 0.667 0.333 0.627
Ni: 0.333 0.667 0.127
Ni: 0.333 0.667 0.373
Ni: 0.667 0.333 0.873
As: 0.667 0.333 0.124
As: 0.333 0.667 0.624
As: 0.333 0.667 0.876
As: 0.667 0.333 0.376
Nd: 0.000 0.000 0.000
Nd: 0.000 0.000 0.500
Nd: 0.000 0.000 0.750
Nd: 0.000 0.000 0.250

Results
ΔH_f (0 K) ... -1.03 eV/atom
Crystal system ... hexagonal
M_tot ... 0.0 Bohr magnetons per cell
Mass density ... 7.7 g/cm³
Energy ... -73.18 eV for the cell shown

---

# 9
First-principles (PBE) data for crystalline NpBe17Tc at its relaxed geometry, as listed in the Alexandria database.

Unit cell a=5.653 b=5.653 c=5.653 alpha=82.75 beta=82.75 gamma=82.75
Site moments in Bohr magnetons follow the coordinates.
Positions (direct):
Np: 0.662 0.662 0.662  3.48
Be: 0.288 0.007 0.706  0.01
Be: 0.706 0.288 0.007  0.01
Be: 0.007 0.706 0.288  0.01
Be: 0.288 0.706 0.007  0.01
Be: 0.007 0.288 0.706  0.01
Be: 0.706 0.007 0.288  0.01
Be: 0.341 0.857 0.341  0.01
Be: 0.341 0.341 0.857  0.01
Be: 0.857 0.341 0.341  0.01
Be: 0.651 0.165 0.651  0.01
Be: 0.651 0.651 0.165  0.01
Be: 0.165 0.651 0.651  0.01
Be: 0.999 0.501 0.999  -0.01
Be: 0.999 0.999 0.501  -0.01
Be: 0.501 0.999 0.999  -0.01
Be: 0.908 0.908 0.908  0.01
Be: 0.100 0.100 0.100  0.00
Tc: 0.324 0.324 0.324  0.09

Results
ΔH_f (0 K) ... -0.01 eV/atom
Crystal system ... trigonal
M_tot ... 4.0 Bohr magnetons per cell
Mass density ... 4.6 g/cm³
Energy ... -86.85 eV for the cell shown

---

# 10
First-principles (PBE) data for crystalline DyTcH5 at its relaxed geometry, as listed in the Alexandria database.

Unit cell a=3.732 b=4.775 c=4.775 alpha=67.77 beta=66.99 gamma=66.99
Positions (direct):
Dy: 0.933 0.000 0.000
Tc: 0.461 0.500 0.500
H: 0.872 0.284 0.284
H: 0.949 0.500 0.500
H: 0.441 0.716 0.716
H: 0.437 0.180 0.820
H: 0.437 0.820 0.180

Results
Crystal system ... orthorhombic
M_tot ... 0.0 Bohr magnetons per cell
Mass density ... 6.3 g/cm³
Energy ... -32.45 eV for the cell shown

---

# 11
First-principles (PBE) data for crystalline HgBrF2 at its relaxed geometry, as listed in the Alexandria database.

Unit cell a=4.506 b=4.506 c=4.506 alpha=60.00 beta=60.00 gamma=60.00
Site moments in Bohr magnetons follow the coordinates.
Positions (direct):
Hg: 0.500 0.500 0.500  -0.01
Br: 0.000 0.000 0.000  0.56
F: 0.250 0.250 0.250  0.16
F: 0.750 0.750 0.750  0.16

Results
Energy above the lowest structure with this stoichiometry ... 587 meV/atom
Formation energy from raw total energies ... -41 kJ per mole of atoms
Crystal system ... cubic
M_tot ... 1.0 Bohr magnetons per cell
Mass density ... 8.2 g/cm³
Energy ... -7.42 eV for the cell shown

---

# 12
First-principles (PBE) data for crystalline LaSm6Er2 at its relaxed geometry, as listed in the Alexandria database.

Unit cell a=3.625 b=8.851 c=12.984 alpha=132.55 beta=81.94 gamma=90.06
Positions (direct):
La: 0.000 0.000 0.000
Sm: 0.890 0.556 0.220
Sm: 0.110 0.444 0.780
Sm: 0.668 0.664 0.665
Sm: 0.779 0.106 0.442
Sm: 0.221 0.894 0.558
Sm: 0.332 0.336 0.335
Er: 0.444 0.775 0.111
Er: 0.556 0.225 0.889

Results
Energy above the lowest structure with this stoichiometry ... 0 meV/atom
ΔH_f (0 K) ... 0.02 eV/atom
Crystal system ... triclinic
M_tot ... 0.0 Bohr magnetons per cell
Mass density ... 7.6 g/cm³
Energy ... -42.19 eV for the cell shown

---

# 13
First-principles (PBE) data for crystalline Na2MnRu at its relaxed geometry, as listed in the Alexandria database.

Unit cell a=4.771 b=4.771 c=4.771 alpha=60.00 beta=60.00 gamma=60.00
Site moments in Bohr magnetons follow the coordinates.
Positions (direct):
Ru: 0.500 0.500 0.500  1.26
Mn: 0.000 0.000 0.000  4.03
Na: 0.250 0.250 0.250  -0.01
Na: 0.750 0.750 0.750  -0.01

Results
Energy above the lowest structure with this stoichiometry ... 37 meV/atom
ΔH_f (0 K) ... 1.12 eV/atom
Crystal system ... cubic
M_tot ... 5.6 Bohr magnetons per cell
Mass density ... 4.4 g/cm³
Energy ... -16.62 eV for the cell shown

---

# 14
First-principles (PBE) data for crystalline Pr4Pt2Cl3 at its relaxed geometry, as listed in the Alexandria database.

Unit cell a=4.175 b=4.175 c=17.901 alpha=90.05 beta=89.95 gamma=120.00
Positions (direct):
Pr: 0.334 0.666 0.878
Pr: 0.999 0.001 0.308
Pr: 0.001 0.999 0.692
Pr: 0.666 0.334 0.122
Pt: 0.667 0.333 0.790
Pt: 0.333 0.667 0.210
Cl: 0.665 0.335 0.404
Cl: 0.000 0.000 0.000
Cl: 0.335 0.665 0.596

Results
Formation energy from raw total energies ... -146 kJ per mole of atoms
Crystal system ... monoclinic
M_tot ... 0.0 Bohr magnetons per cell
Mass density ... 6.5 g/cm³
Energy ... -50.33 eV for the cell shown

---

# 15
First-principles (PBE) data for crystalline Cs2YSbAs at its relaxed geometry, as listed in the Alexandria database.

Unit cell a=7.620 b=7.620 c=5.289 alpha=90.00 beta=90.00 gamma=90.00
Site moments in Bohr magnetons follow the coordinates.
Positions (direct):
Cs: 0.000 0.500 0.000  0.02
Cs: 0.500 0.000 0.000  0.02
Sb: 0.500 0.500 0.500  0.65
As: 0.000 0.000 0.500  0.04
Y: 0.000 0.000 0.000  0.21

Results
Formation energy from raw total energies ... 30 kJ per mole of atoms
Crystal system ... tetragonal
M_tot ... 2.6 Bohr magnetons per cell
Mass density ... 3.0 g/cm³
Energy ... -15.37 eV for the cell shown

---

# 16
First-principles (PBE) data for crystalline Ca2GaCuW at its relaxed geometry, as listed in the Alexandria database.

Unit cell a=5.336 b=4.517 c=5.336 alpha=90.00 beta=90.00 gamma=90.00
Site moments in Bohr magnetons follow the coordinates.
Positions (direct):
Ca: 0.000 0.000 0.500  0.03
Ca: 0.500 0.000 0.000  0.02
Cu: 0.000 0.000 0.000  0.01
Ga: 0.000 0.500 0.000  -0.05
W: 0.500 0.500 0.500  2.80

Results
ΔH_f (0 K) ... 0.88 eV/atom
Crystal system ... tetragonal
M_tot ... 3.9 Bohr magnetons per cell
Mass density ... 5.1 g/cm³
Energy ... -19.70 eV for the cell shown

---

# 17
First-principles (PBE) data for crystalline SrYAs2Se at its relaxed geometry, as listed in the Alexandria database.

Unit cell a=5.386 b=5.386 c=5.516 alpha=90.00 beta=90.00 gamma=90.00
Positions (direct):
Y: 0.500 0.500 0.500
Sr: 0.000 0.000 0.000
As: 0.000 0.500 0.000
As: 0.500 0.000 0.000
Se: 0.000 0.000 0.500

Results
Energy above the lowest structure with this stoichiometry ... 844 meV/atom
Formation energy from raw total energies ... 16 kJ per mole of atoms
Crystal system ... tetragonal
M_tot ... 0.0 Bohr magnetons per cell
Mass density ... 4.2 g/cm³
Energy ... -20.12 eV for the cell shown

---

# 18
First-principles (PBE) data for crystalline InBrO2 at its relaxed geometry, as listed in the Alexandria database.

Unit cell a=5.834 b=5.834 c=6.252 alpha=62.19 beta=62.19 gamma=90.00
Site moments in Bohr magnetons follow the coordinates.
Positions (direct):
O: 0.720 0.125 0.250  0.42
O: 0.030 0.625 0.250  0.40
O: 0.375 0.280 0.750  0.42
O: 0.875 0.970 0.750  0.40
Br: 0.500 0.500 0.000  0.81
Br: 0.250 0.750 0.500  0.82
In: 0.000 0.000 0.000  -0.01
In: 0.750 0.250 0.500  -0.01

Results
Energy above the lowest structure with this stoichiometry ... 501 meV/atom
Formation energy from raw total energies ... -33 kJ per mole of atoms
Crystal system ... tetragonal
M_tot ... 4.0 Bohr magnetons per cell
Mass density ... 4.7 g/cm³
Energy ... -31.38 eV for the cell shown

---

# 19
First-principles (PBE) data for crystalline Bi4Cl at its relaxed geometry, as listed in the Alexandria database.

Unit cell a=5.538 b=5.538 c=5.538 alpha=90.00 beta=90.00 gamma=90.00
Positions (direct):
Bi: 0.000 0.000 0.000
Bi: 0.500 0.000 0.500
Bi: 0.000 0.500 0.500
Bi: 0.500 0.500 0.000
Cl: 0.500 0.500 0.500

Results
Formation energy from raw total energies ... 50 kJ per mole of atoms
Crystal system ... cubic
M_tot ... 0.0 Bohr magnetons per cell
Mass density ... 8.5 g/cm³
Energy ... -14.76 eV for the cell shown

---

# 20
First-principles (PBE) data for crystalline AcY3 at its relaxed geometry, as listed in the Alexandria database.

Unit cell a=5.200 b=5.200 c=5.200 alpha=90.00 beta=90.00 gamma=90.00
Positions (direct):
Y: 0.000 0.500 0.500
Y: 0.500 0.000 0.500
Y: 0.500 0.500 0.000
Ac: 0.000 0.000 0.000

Results
ΔH_f (0 K) ... 0.06 eV/atom
Crystal system ... cubic
M_tot ... 0.0 Bohr magnetons per cell
Mass density ... 5.8 g/cm³
Energy ... -23.28 eV for the cell shown